# PBE SmGa2PtAu, optimized geometry
data_SmGa2PtAu
_chemical_formula_sum 'Sm2 Ga4 Pt2 Au2'
_cell_length_a 4.3272
_cell_length_b 4.3272
_cell_length_c 10.5791
_cell_angle_alpha 90.00
_cell_angle_beta 90.00
_cell_angle_gamma 90.00
_symmetry_space_group_name_H-M 'P 4/n m m'
_symmetry_Int_Tables_number 129
loop_
_symmetry_equiv_pos_as_xyz
'x,y,z'
'-x,-y,-z'
'-y+1/2,x,z'
'y+1/2,-x,-z'
'-x+1/2,-y+1/2,z'
'x+1/2,y+1/2,-z'
'y,-x+1/2,z'
'-y,x+1/2,-z'
'x+1/2,-y,-z'
'-x+1/2,y,z'
'-y,-x,-z'
'y,x,z'
'-x,y+1/2,-z'
'x,-y+1/2,z'
'y+1/2,x+1/2,-z'
'-y+1/2,-x+1/2,z'
loop_
_atom_site_label
_atom_site_type_symbol
_atom_site_fract_x
_atom_site_fract_y
_atom_site_fract_z
Sm1 Sm 0.2500 0.2500 0.2400
Ga1 Ga 0.2500 0.2500 0.6416
Ga2 Ga 0.2500 0.7500 0.0000
Pt1 Pt 0.2500 0.2500 0.8725
Au1 Au 0.2500 0.7500 0.5000
# Relative energy among the computed polymorphs in kJ/mol of formula units: 0.0
# Total DFT energy (no corrections) in eV/atom: -4.839
# Volume in Å³ per cell: 198.1

# PBE SmGa2PtAu, optimized geometry
data_SmGa2PtAu
_chemical_formula_sum 'Sm2 Ga4 Pt2 Au2'
_cell_length_a 4.2387
_cell_length_b 4.2387
_cell_length_c 10.9380
_cell_angle_alpha 90.00
_cell_angle_beta 90.00
_cell_angle_gamma 90.00
_symmetry_space_group_name_H-M 'P 4/n m m'
_symmetry_Int_Tables_number 129
loop_
_symmetry_equiv_pos_as_xyz
'x,y,z'
'-x,-y,-z'
'-y+1/2,x,z'
'y+1/2,-x,-z'
'-x+1/2,-y+1/2,z'
'x+1/2,y+1/2,-z'
'y,-x+1/2,z'
'-y,x+1/2,-z'
'x+1/2,-y,-z'
'-x+1/2,y,z'
'-y,-x,-z'
'y,x,z'
'-x,y+1/2,-z'
'x,-y+1/2,z'
'y+1/2,x+1/2,-z'
'-y+1/2,-x+1/2,z'
loop_
_atom_site_label
_atom_site_type_symbol
_atom_site_fract_x
_atom_site_fract_y
_atom_site_fract_z
Sm1 Sm 0.2500 0.2500 0.2428
Ga1 Ga 0.2500 0.2500 0.8722
Ga2 Ga 0.2500 0.7500 0.5000
Pt1 Pt 0.2500 0.7500 0.0000
Au1 Au 0.2500 0.2500 0.6425
# Relative energy among the computed polymorphs in kJ/mol of formula units: 19.1
# Total DFT energy (no corrections) in eV/atom: -4.799
# Volume in Å³ per cell: 196.5

# PBE TbTm2Ga3PtAu2, optimized geometry
data_TbTm2Ga3PtAu2
_chemical_formula_sum 'Tb2 Tm4 Ga6 Pt2 Au4'
_cell_length_a 3.8306
_cell_length_b 12.8629
_cell_length_c 7.3900
_cell_angle_alpha 90.00
_cell_angle_beta 90.00
_cell_angle_gamma 90.00
_symmetry_space_group_name_H-M 'A m m 2'
_symmetry_Int_Tables_number 38
loop_
_symmetry_equiv_pos_as_xyz
'x,y,z'
'-x,-y,z'
'-x,y,z'
'x,-y,z'
'x,y+1/2,z+1/2'
'-x,-y+1/2,z+1/2'
'-x,y+1/2,z+1/2'
'x,-y+1/2,z+1/2'
loop_
_atom_site_label
_atom_site_type_symbol
_atom_site_fract_x
_atom_site_fract_y
_atom_site_fract_z
Tb1 Tb 0.0000 0.0000 0.0000
Tm1 Tm 0.0000 0.1994 0.6002
Ga1 Ga 0.5000 0.0000 0.6528
Ga2 Ga 0.5000 0.1259 0.2758
Pt1 Pt 0.0000 0.0000 0.4047
Au1 Au 0.5000 0.1692 0.9001
# Total DFT energy (no corrections) in eV/atom: -4.816
# Volume in Å³ per cell: 364.1

# PBE TbY2Ga3PtAu2, optimized geometry
data_TbY2Ga3PtAu2
_chemical_formula_sum 'Tb2 Y4 Ga6 Pt2 Au4'
_cell_length_a 3.8692
_cell_length_b 12.9332
_cell_length_c 7.4573
_cell_angle_alpha 90.00
_cell_angle_beta 90.00
_cell_angle_gamma 90.00
_symmetry_space_group_name_H-M 'A m m 2'
_symmetry_Int_Tables_number 38
loop_
_symmetry_equiv_pos_as_xyz
'x,y,z'
'-x,-y,z'
'-x,y,z'
'x,-y,z'
'x,y+1/2,z+1/2'
'-x,-y+1/2,z+1/2'
'-x,y+1/2,z+1/2'
'x,-y+1/2,z+1/2'
loop_
_atom_site_label
_atom_site_type_symbol
_atom_site_fract_x
_atom_site_fract_y
_atom_site_fract_z
Tb1 Tb 0.0000 0.0000 0.0000
Y1 Y 0.0000 0.1999 0.6003
Ga1 Ga 0.5000 0.0000 0.6501
Ga2 Ga 0.5000 0.1250 0.2757
Pt1 Pt 0.0000 0.0000 0.4002
Au1 Au 0.5000 0.1666 0.9006
# Total DFT energy (no corrections) in eV/atom: -5.255
# Volume in Å³ per cell: 373.2

- What is the formula in the first record?
  SmGa2PtAu

- Which formula does entry 2 have?
  SmGa2PtAu